No. 1
Material: SiB2Br
Method: DFT, GGA-PBE
State: relaxed

a = 3.4296 Å, b = 4.4812 Å, c = 10.7931 Å
α = 97.20°, β = 98.87°, γ = 90.01°
With the nearest neighbours (Å) after each atom.
Space group P-1 (No. 2)
Unique sites:
Si  0.0698  0.2973  0.1437  4 B 2.04-2.08, 1 Br 2.23
B  0.2496  0.0000  0.0000  4 B 1.71-1.81
B  0.4775  0.6470  0.9538  3 B 1.74-1.81
Br  0.1659  0.1845  0.3414  1 Si 2.23

Its energy is -5.116 eV/atom. For the energy above the most stable polymorph in this dataset, the calculation gives 0 meV/atom. Its total magnetic moment is 0.00 μB/f.u. The volume comes out at 20.321 Å³ per atom. The calculation puts the raw formation energy at -0.0032 eV/atom.


No. 2
Material: Sr3InAg6Ge2
Method: DFT, GGA-PBE
State: relaxed

a = 6.5855 Å, b = 6.5855 Å, c = 8.5280 Å
α = 90.00°, β = 90.00°, γ = 120.00°
With the nearest neighbours (Å) after each atom.
Space group P-3m1 (No. 164)
Unique sites:
Sr  0.0000  0.0000  0.0000  6 Ag 3.31
Sr  0.3333  0.6667  0.6760  1 Ge 3.25, 9 Ag 3.31-3.64
In  0.0000  0.0000  0.5000  6 Ag 2.74
Ag  0.1866  0.3732  0.2970  1 Ge 2.64, 1 In 2.74, 2 Ag 2.90
Ge  0.3333  0.6667  0.0575  3 Ag 2.64

Its energy is -2.981 eV/atom. The formation energy from the elements is -3.173 kcal/mol of atoms. Its total magnetic moment is 0.00 μB/f.u. The volume comes out at 26.691 Å³ per atom.